Entry 1:
Compound: TlBi
Source: Alexandria via LeMat-Bulk
Functional: PBE
Structure: optimized geometry

```
8
Lattice="-1.511 1.791 8.251 -3.760 -7.648 0.972 4.352 -1.984 1.228" Properties=species:S:1:pos:R:3 pbc="T T T"
Tl -1.922 0.067 6.921
Tl 0.504 -2.850 3.540
Tl -1.422 -4.990 6.910
Tl -3.349 -5.924 2.302
Bi -4.354 -4.838 7.619
Bi -0.850 -5.562 3.959
Bi -0.068 -2.279 6.491
Bi -0.917 -1.019 1.604
```

Output
SG: P4_2/mnm (136)
Spin magnetization: 0.00 μB per formula unit
Density of states at the Fermi level: 3.018 states/eV per cell
Raw total energy: -2.8834 eV per atom

=====

Entry 2:
Compound: TlBi
Source: Alexandria via LeMat-Bulk
Functional: PBE
Structure: optimized geometry

```
8
Lattice="-3.447 -1.864 -2.322 2.088 -5.021 0.933 -2.170 1.187 11.245" Properties=species:S:1:pos:R:3 pbc="T T T"
Tl -1.230 0.213 3.903
Tl -4.387 -0.891 5.021
Tl -1.272 -1.704 9.992
Tl -2.258 -3.995 -0.135
Bi -1.444 -0.538 0.337
Bi -4.173 -0.140 8.587
Bi -1.486 -2.455 6.426
Bi -2.044 -3.244 3.431
```

Output
SG: C2/m (12)
Spin magnetization: 0.00 μB per formula unit
Density of states at the Fermi level: 3.818 states/eV per cell
Raw total energy: -3.1180 eV per atom

=====

Entry 3:
Compound: TlBi3
Source: Alexandria via LeMat-Bulk
Functional: PBE
Structure: optimized geometry

```
4
Lattice="3.388 0.000 0.000 0.000 6.461 0.000 -1.694 -3.231 5.950" Properties=species:S:1:pos:R:3 pbc="T T T"
Tl 0.000 0.308 0.000
Bi 0.000 1.909 3.256
Bi 1.694 3.412 0.000
Bi 1.694 -1.322 2.694
```

Output
SG: Imm2 (44)
Spin magnetization: 0.00 μB per formula unit
ΔE to the lowest computed polymorph: 20 meV/atom
Density of states at the Fermi level: 2.028 states/eV per cell